No. 1
# Nd2Y8Er3 (PBE-GGA, relaxed)
data_Nd2Y8Er3
_space_group_name_H-M_alt 'P 1'
_space_group_IT_number 1
_space_group_name_Hall 'P 1'
_cell_length_a 5.594
_cell_length_b 7.618
_cell_length_c 11.036
_cell_angle_alpha 110.20
_cell_angle_beta 90.01
_cell_angle_gamma 90.00
loop_
_atom_site_label
_atom_site_type_symbol
_atom_site_fract_x
_atom_site_fract_y
_atom_site_fract_z
_atom_site_occupancy
Nd1 Nd 0.500 0.241 0.481 1
Nd2 Nd 0.500 0.759 0.519 1
Y1 Y 0.000 0.664 0.327 1
Y2 Y 0.000 0.336 0.673 1
Y3 Y 0.000 0.130 0.260 1
Y4 Y 0.000 0.870 0.740 1
Y5 Y 0.500 0.608 0.789 1
Y6 Y 0.500 0.181 0.789 1
Y7 Y 0.500 0.819 0.211 1
Y8 Y 0.500 0.392 0.211 1
Er1 Er 0.500 0.000 0.000 1
Er2 Er 0.000 0.284 0.000 1
Er3 Er 0.000 0.716 0.000 1
# SG ... Cmmm (65)
# Offset from the most stable computed form ... 1.226 eV/f.u.

=====

No. 2
# Si3SnN (PBE-GGA, relaxed)
data_Si3SnN
_space_group_name_H-M_alt 'P 1'
_space_group_IT_number 1
_space_group_name_Hall 'P 1'
_cell_length_a 4.246
_cell_length_b 4.246
_cell_length_c 4.246
_cell_angle_alpha 90.00
_cell_angle_beta 90.00
_cell_angle_gamma 90.00
loop_
_atom_site_label
_atom_site_type_symbol
_atom_site_fract_x
_atom_site_fract_y
_atom_site_fract_z
_atom_site_occupancy
Si1 Si 0.000 0.500 0.000 1
Si2 Si 0.000 0.000 0.500 1
Si3 Si 0.500 0.000 0.000 1
Sn1 Sn 0.500 0.500 0.500 1
N1 N 0.000 0.000 0.000 1
# SG ... Pm-3m (221)
# ΔE_f (raw) ... 0.67 eV per atom

=====

No. 3
# ZrTiNi2 (PBE-GGA, relaxed)
data_ZrTiNi2
_space_group_name_H-M_alt 'P 1'
_space_group_IT_number 1
_space_group_name_Hall 'P 1'
_cell_length_a 6.877
_cell_length_b 6.877
_cell_length_c 5.545
_cell_angle_alpha 51.68
_cell_angle_beta 51.68
_cell_angle_gamma 90.00
loop_
_atom_site_label
_atom_site_type_symbol
_atom_site_fract_x
_atom_site_fract_y
_atom_site_fract_z
_atom_site_occupancy
Ni1 Ni 0.602 0.125 0.250 1
Ni2 Ni 0.148 0.625 0.250 1
Ni3 Ni 0.375 0.398 0.750 1
Ni4 Ni 0.875 0.852 0.750 1
Zr1 Zr 0.000 0.000 0.000 1
Zr2 Zr 0.750 0.250 0.500 1
Ti1 Ti 0.500 0.500 0.000 1
Ti2 Ti 0.250 0.750 0.500 1
# SG ... I-42d (122)
# Offset from the most stable computed form ... 1.765 eV/f.u.

=====

Repeat the first record exactly.
# Nd2Y8Er3 (PBE-GGA, relaxed)
data_Nd2Y8Er3
_space_group_name_H-M_alt 'P 1'
_space_group_IT_number 1
_space_group_name_Hall 'P 1'
_cell_length_a 5.594
_cell_length_b 7.618
_cell_length_c 11.036
_cell_angle_alpha 110.20
_cell_angle_beta 90.01
_cell_angle_gamma 90.00
loop_
_atom_site_label
_atom_site_type_symbol
_atom_site_fract_x
_atom_site_fract_y
_atom_site_fract_z
_atom_site_occupancy
Nd1 Nd 0.500 0.241 0.481 1
Nd2 Nd 0.500 0.759 0.519 1
Y1 Y 0.000 0.664 0.327 1
Y2 Y 0.000 0.336 0.673 1
Y3 Y 0.000 0.130 0.260 1
Y4 Y 0.000 0.870 0.740 1
Y5 Y 0.500 0.608 0.789 1
Y6 Y 0.500 0.181 0.789 1
Y7 Y 0.500 0.819 0.211 1
Y8 Y 0.500 0.392 0.211 1
Er1 Er 0.500 0.000 0.000 1
Er2 Er 0.000 0.284 0.000 1
Er3 Er 0.000 0.716 0.000 1
# SG ... Cmmm (65)
# Offset from the most stable computed form ... 1.226 eV/f.u.